(A)
VASP calculation (GGA-PBE) on a relaxed SmEr2Zn crystal.

Computed properties:
total magnetization	0.01	μB per cell
calculated volume	106.6	Å³/f.u.

CIF file:
```
data_SmEr2Zn
_space_group_name_H-M_alt 'P 1'
_space_group_IT_number 1
_space_group_name_Hall 'P 1'
_cell_length_a 4.737
_cell_length_b 4.737
_cell_length_c 4.748
_cell_angle_alpha 90.00
_cell_angle_beta 90.00
_cell_angle_gamma 90.00
loop_
_atom_site_label
_atom_site_fract_x
_atom_site_fract_y
_atom_site_fract_z
Sm1 0.000 0.000 0.000
Er1 0.000 0.500 0.500
Er2 0.500 0.000 0.500
Zn1 0.500 0.500 0.000
```

=====

(B)
VASP calculation (GGA-PBE) on a relaxed SmEr2Zn crystal.

Computed properties:
total magnetization	0.00	μB per cell
calculated volume	113.5	Å³/f.u.

CIF file:
```
data_SmEr2Zn
_space_group_name_H-M_alt 'P 1'
_space_group_IT_number 1
_space_group_name_Hall 'P 1'
_cell_length_a 10.429
_cell_length_b 10.429
_cell_length_c 10.429
_cell_angle_alpha 19.77
_cell_angle_beta 19.77
_cell_angle_gamma 19.77
loop_
_atom_site_label
_atom_site_fract_x
_atom_site_fract_y
_atom_site_fract_z
Sm1 0.000 0.000 0.000
Er1 0.238 0.238 0.238
Er2 0.430 0.430 0.430
Zn1 0.834 0.834 0.834
```

=====

Which structure is the least stable? The one labeled (A).

=====

(A)
VASP calculation (GGA-PBE) on a relaxed SmErZn4 crystal.

Computed properties:
total magnetization	0.00	μB per cell
calculated volume	139.7	Å³/f.u.

CIF file:
```
data_SmErZn4
_space_group_name_H-M_alt 'P 1'
_space_group_IT_number 1
_space_group_name_Hall 'P 1'
_cell_length_a 3.744
_cell_length_b 3.808
_cell_length_c 9.801
_cell_angle_alpha 90.28
_cell_angle_beta 90.14
_cell_angle_gamma 90.00
loop_
_atom_site_label
_atom_site_fract_x
_atom_site_fract_y
_atom_site_fract_z
Sm1 0.000 0.000 0.000
Er1 0.500 0.500 0.500
Zn1 0.000 0.499 0.746
Zn2 0.000 0.501 0.254
Zn3 0.500 0.001 0.743
Zn4 0.500 0.999 0.257
```

=====

(B)
VASP calculation (GGA-PBE) on a relaxed SmErZn4 crystal.

Computed properties:
total magnetization	0.00	μB per cell
calculated volume	116.4	Å³/f.u.

CIF file:
```
data_SmErZn4
_space_group_name_H-M_alt 'P 1'
_space_group_IT_number 1
_space_group_name_Hall 'P 1'
_cell_length_a 5.481
_cell_length_b 5.481
_cell_length_c 5.481
_cell_angle_alpha 60.00
_cell_angle_beta 60.00
_cell_angle_gamma 60.00
loop_
_atom_site_label
_atom_site_fract_x
_atom_site_fract_y
_atom_site_fract_z
Sm1 0.000 0.000 0.000
Er1 0.750 0.750 0.750
Zn1 0.375 0.375 0.375
Zn2 0.375 0.375 0.875
Zn3 0.375 0.875 0.375
Zn4 0.875 0.375 0.375
```

=====

Which structure is the least stable? The one labeled (A).

=====

(A)
VASP calculation (GGA-PBE) on a relaxed Sm2Er2Zn crystal.

Computed properties:
total magnetization	0.00	μB per cell
calculated volume	150.2	Å³/f.u.

CIF file:
```
data_Sm2Er2Zn
_space_group_name_H-M_alt 'P 1'
_space_group_IT_number 1
_space_group_name_Hall 'P 1'
_cell_length_a 12.438
_cell_length_b 12.438
_cell_length_c 12.438
_cell_angle_alpha 156.71
_cell_angle_beta 156.71
_cell_angle_gamma 33.17
loop_
_atom_site_label
_atom_site_fract_x
_atom_site_fract_y
_atom_site_fract_z
Sm1 0.050 0.300 0.750
Sm2 0.300 0.050 0.250
Sm3 0.700 0.950 0.750
Sm4 0.950 0.700 0.250
Er1 0.194 0.444 0.750
Er2 0.444 0.194 0.250
Er3 0.556 0.806 0.750
Er4 0.806 0.556 0.250
Zn1 0.125 0.875 0.250
Zn2 0.875 0.125 0.750
```

=====

(B)
VASP calculation (GGA-PBE) on a relaxed Sm2Er2Zn crystal.

Computed properties:
total magnetization	0.00	μB per cell
calculated volume	142.5	Å³/f.u.

CIF file:
```
data_Sm2Er2Zn
_space_group_name_H-M_alt 'P 1'
_space_group_IT_number 1
_space_group_name_Hall 'P 1'
_cell_length_a 11.544
_cell_length_b 11.544
_cell_length_c 11.544
_cell_angle_alpha 162.28
_cell_angle_beta 162.28
_cell_angle_gamma 25.16
loop_
_atom_site_label
_atom_site_fract_x
_atom_site_fract_y
_atom_site_fract_z
Sm1 0.192 0.192 0.000
Sm2 0.808 0.808 0.000
Er1 0.423 0.423 0.000
Er2 0.577 0.577 0.000
Zn1 0.000 0.000 0.000
```

=====

Which structure is the least stable? The one labeled (A).

=====

(A)
VASP calculation (GGA-PBE) on a relaxed Sm4ErZn crystal.

Computed properties:
total magnetization	0.00	μB per cell
calculated volume	180.6	Å³/f.u.

CIF file:
```
data_Sm4ErZn
_space_group_name_H-M_alt 'P 1'
_space_group_IT_number 1
_space_group_name_Hall 'P 1'
_cell_length_a 3.615
_cell_length_b 3.615
_cell_length_c 13.814
_cell_angle_alpha 90.00
_cell_angle_beta 90.00
_cell_angle_gamma 90.00
loop_
_atom_site_label
_atom_site_fract_x
_atom_site_fract_y
_atom_site_fract_z
Sm1 0.000 0.000 0.132
Sm2 0.000 0.000 0.868
Sm3 0.500 0.500 0.320
Sm4 0.500 0.500 0.680
Er1 0.000 0.000 0.500
Zn1 0.500 0.500 0.000
```

=====

(B)
VASP calculation (GGA-PBE) on a relaxed Sm4ErZn crystal.

Computed properties:
total magnetization	0.00	μB per cell
calculated volume	182.4	Å³/f.u.

CIF file:
```
data_Sm4ErZn
_space_group_name_H-M_alt 'P 1'
_space_group_IT_number 1
_space_group_name_Hall 'P 1'
_cell_length_a 8.170
_cell_length_b 8.170
_cell_length_c 6.310
_cell_angle_alpha 100.07
_cell_angle_beta 100.07
_cell_angle_gamma 113.88
loop_
_atom_site_label
_atom_site_fract_x
_atom_site_fract_y
_atom_site_fract_z
Sm1 0.080 0.713 0.950
Sm2 0.167 0.391 0.625
Sm3 0.287 0.920 0.550
Sm4 0.391 0.167 0.125
Sm5 0.609 0.833 0.875
Sm6 0.713 0.080 0.450
Sm7 0.833 0.609 0.375
Sm8 0.920 0.287 0.050
Er1 0.406 0.594 0.250
Er2 0.594 0.406 0.750
Zn1 0.000 0.000 0.250
Zn2 0.000 0.000 0.750
```

=====

Which structure is the least stable? The one labeled (B).

=====

(A)
VASP calculation (GGA-PBE) on a relaxed Sm3ErZn2 crystal.

Computed properties:
total magnetization	0.00	μB per cell
calculated volume	160.0	Å³/f.u.

CIF file:
```
data_Sm3ErZn2
_space_group_name_H-M_alt 'P 1'
_space_group_IT_number 1
_space_group_name_Hall 'P 1'
_cell_length_a 5.134
_cell_length_b 9.264
_cell_length_c 6.728
_cell_angle_alpha 90.00
_cell_angle_beta 90.00
_cell_angle_gamma 90.00
loop_
_atom_site_label
_atom_site_fract_x
_atom_site_fract_y
_atom_site_fract_z
Sm1 0.000 0.055 0.000
Sm2 0.000 0.333 0.336
Sm3 0.000 0.667 0.836
Sm4 0.000 0.945 0.500
Sm5 0.500 0.176 0.680
Sm6 0.500 0.824 0.180
Er1 0.500 0.445 0.023
Er2 0.500 0.555 0.523
Zn1 0.000 0.349 0.792
Zn2 0.000 0.651 0.292
Zn3 0.500 0.154 0.229
Zn4 0.500 0.846 0.729
```

=====

(B)
VASP calculation (GGA-PBE) on a relaxed Sm3ErZn2 crystal.

Computed properties:
total magnetization	0.00	μB per cell
calculated volume	182.3	Å³/f.u.

CIF file:
```
data_Sm3ErZn2
_space_group_name_H-M_alt 'P 1'
_space_group_IT_number 1
_space_group_name_Hall 'P 1'
_cell_length_a 8.787
_cell_length_b 8.787
_cell_length_c 8.787
_cell_angle_alpha 133.34
_cell_angle_beta 69.91
_cell_angle_gamma 131.09
loop_
_atom_site_label
_atom_site_fract_x
_atom_site_fract_y
_atom_site_fract_z
Sm1 0.023 0.750 0.273
Sm2 0.250 0.250 0.000
Sm3 0.477 0.750 0.727
Sm4 0.523 0.250 0.273
Sm5 0.750 0.750 0.000
Sm6 0.977 0.250 0.727
Er1 0.000 0.500 0.500
Er2 0.500 0.000 0.500
Zn1 0.137 0.206 0.343
Zn2 0.363 0.706 0.069
Zn3 0.637 0.294 0.931
Zn4 0.863 0.794 0.657
```

=====

Which structure is the least stable? The one labeled (B).

=====

(A)
VASP calculation (GGA-PBE) on a relaxed SmEr4Zn crystal.

Computed properties:
total magnetization	0.00	μB per cell
calculated volume	170.2	Å³/f.u.

CIF file:
```
data_SmEr4Zn
_space_group_name_H-M_alt 'P 1'
_space_group_IT_number 1
_space_group_name_Hall 'P 1'
_cell_length_a 3.534
_cell_length_b 3.534
_cell_length_c 13.630
_cell_angle_alpha 90.00
_cell_angle_beta 90.00
_cell_angle_gamma 90.00
loop_
_atom_site_label
_atom_site_fract_x
_atom_site_fract_y
_atom_site_fract_z
Sm1 0.000 0.000 0.000
Er1 0.000 0.000 0.371
Er2 0.000 0.000 0.629
Er3 0.500 0.500 0.186
Er4 0.500 0.500 0.814
Zn1 0.500 0.500 0.500
```

=====

(B)
VASP calculation (GGA-PBE) on a relaxed SmEr4Zn crystal.

Computed properties:
total magnetization	0.00	μB per cell
calculated volume	172.5	Å³/f.u.

CIF file:
```
data_SmEr4Zn
_space_group_name_H-M_alt 'P 1'
_space_group_IT_number 1
_space_group_name_Hall 'P 1'
_cell_length_a 8.062
_cell_length_b 8.062
_cell_length_c 6.144
_cell_angle_alpha 100.20
_cell_angle_beta 100.20
_cell_angle_gamma 113.97
loop_
_atom_site_label
_atom_site_fract_x
_atom_site_fract_y
_atom_site_fract_z
Sm1 0.099 0.901 0.750
Sm2 0.901 0.099 0.250
Er1 0.115 0.335 0.871
Er2 0.214 0.577 0.449
Er3 0.335 0.115 0.371
Er4 0.423 0.786 0.051
Er5 0.577 0.214 0.949
Er6 0.665 0.885 0.629
Er7 0.786 0.423 0.551
Er8 0.885 0.665 0.129
Zn1 0.500 0.500 0.250
Zn2 0.500 0.500 0.750
```

=====

Which structure is the least stable? The one labeled (B).